[1]
VASP calculation (PBE) on a relaxed K2NbCl8 crystal.

Structure (CIF):
```
data_K2NbCl8
_symmetry_space_group_name_H-M 'P 1'
_symmetry_Int_Tables_number 1
_symmetry_space_group_name_Hall 'P 1'
_cell_length_a 8.6367
_cell_length_b 8.6367
_cell_length_c 7.3502
_cell_angle_alpha 103.00
_cell_angle_beta 103.00
_cell_angle_gamma 45.65
loop_
_atom_site_label
_atom_site_type_symbol
_atom_site_fract_x
_atom_site_fract_y
_atom_site_fract_z
_atom_site_occupancy
K1 K 0.1582 0.1582 0.0935 1
K2 K 0.8418 0.8418 0.9065 1
Nb1 Nb 0.0000 0.0000 0.5000 1
Cl1 Cl 0.1544 0.1544 0.5398 1
Cl2 Cl 0.2340 0.7395 0.2631 1
Cl3 Cl 0.2605 0.7660 0.7369 1
Cl4 Cl 0.3111 0.3111 0.9040 1
Cl5 Cl 0.6889 0.6889 0.0960 1
Cl6 Cl 0.7395 0.2340 0.2631 1
Cl7 Cl 0.7660 0.2605 0.7369 1
Cl8 Cl 0.8456 0.8456 0.4602 1
```

Final energy, eV for the cell shown: -41.2
Formation energy without anion corrections, eV/atom: -1.286

[2]
VASP calculation (PBE) on a relaxed In2SiOs crystal.

Structure (CIF):
```
data_In2SiOs
_symmetry_space_group_name_H-M 'P 1'
_symmetry_Int_Tables_number 1
_symmetry_space_group_name_Hall 'P 1'
_cell_length_a 3.0674
_cell_length_b 3.0674
_cell_length_c 8.4208
_cell_angle_alpha 90.00
_cell_angle_beta 90.00
_cell_angle_gamma 90.00
loop_
_atom_site_label
_atom_site_type_symbol
_atom_site_fract_x
_atom_site_fract_y
_atom_site_fract_z
_atom_site_occupancy
In1 In 0.0000 0.0000 0.0000 1
In2 In 0.5000 0.5000 0.3499 1
Si1 Si 0.5000 0.5000 0.7288 1
Os1 Os 0.0000 0.0000 0.5935 1
```

Final energy, eV for the cell shown: -21.8
Formation energy without anion corrections, eV/atom: 0.093

[3]
VASP calculation (PBE) on a relaxed UPaAsS crystal.

Structure (CIF):
```
data_UPaAsS
_symmetry_space_group_name_H-M 'P 1'
_symmetry_Int_Tables_number 1
_symmetry_space_group_name_Hall 'P 1'
_cell_length_a 4.9231
_cell_length_b 4.9231
_cell_length_c 4.9231
_cell_angle_alpha 60.00
_cell_angle_beta 60.00
_cell_angle_gamma 60.00
loop_
_atom_site_label
_atom_site_type_symbol
_atom_site_fract_x
_atom_site_fract_y
_atom_site_fract_z
_atom_site_occupancy
U1 U 0.0000 0.0000 0.0000 1
Pa1 Pa 0.5000 0.5000 0.5000 1
As1 As 0.2500 0.2500 0.2500 1
S1 S 0.7500 0.7500 0.7500 1
```

Final energy, eV for the cell shown: -33.0
Energy relative to the lowest polymorph listed for this composition, eV/atom: 0.2882
Formation energy without anion corrections, eV/atom: -0.871

[4]
VASP calculation (PBE) on a relaxed TaHgTe2 crystal.

Structure (CIF):
```
data_TaHgTe2
_symmetry_space_group_name_H-M 'P 1'
_symmetry_Int_Tables_number 1
_symmetry_space_group_name_Hall 'P 1'
_cell_length_a 3.6856
_cell_length_b 3.6862
_cell_length_c 10.8556
_cell_angle_alpha 80.91
_cell_angle_beta 89.95
_cell_angle_gamma 60.04
loop_
_atom_site_label
_atom_site_type_symbol
_atom_site_fract_x
_atom_site_fract_y
_atom_site_fract_z
_atom_site_occupancy
Ta1 Ta 0.0000 0.0000 0.0000 1
Hg1 Hg 0.4824 0.0360 0.4712 1
Te1 Te 0.6138 0.7733 0.8278 1
Te2 Te 0.7194 0.5602 0.1721 1
```

Final energy, eV for the cell shown: -19.4
Formation energy without anion corrections, eV/atom: -0.233

[5]
VASP calculation (PBE) on a relaxed Ca3Nd2Mg2 crystal.

Structure (CIF):
```
data_Ca3Nd2Mg2
_symmetry_space_group_name_H-M 'P 1'
_symmetry_Int_Tables_number 1
_symmetry_space_group_name_Hall 'P 1'
_cell_length_a 16.7377
_cell_length_b 16.7377
_cell_length_c 3.8074
_cell_angle_alpha 90.00
_cell_angle_beta 90.00
_cell_angle_gamma 166.89
loop_
_atom_site_label
_atom_site_type_symbol
_atom_site_fract_x
_atom_site_fract_y
_atom_site_fract_z
_atom_site_occupancy
Ca1 Ca 0.0000 0.0000 0.0000 1
Ca2 Ca 0.4142 0.5858 0.5000 1
Ca3 Ca 0.5858 0.4142 0.5000 1
Nd1 Nd 0.2930 0.7070 0.5000 1
Nd2 Nd 0.7070 0.2930 0.5000 1
Mg1 Mg 0.1469 0.8531 0.0000 1
Mg2 Mg 0.8531 0.1469 0.0000 1
```

Final energy, eV for the cell shown: -18.5
Formation energy from the elements, meV per atom: 38

[6]
VASP calculation (PBE) on a relaxed CaGdCu2 crystal.

Structure (CIF):
```
data_CaGdCu2
_symmetry_space_group_name_H-M 'P 1'
_symmetry_Int_Tables_number 1
_symmetry_space_group_name_Hall 'P 1'
_cell_length_a 4.9749
_cell_length_b 4.9749
_cell_length_c 4.9749
_cell_angle_alpha 60.00
_cell_angle_beta 60.00
_cell_angle_gamma 60.00
loop_
_atom_site_label
_atom_site_type_symbol
_atom_site_fract_x
_atom_site_fract_y
_atom_site_fract_z
_atom_site_occupancy
Ca1 Ca 0.0000 0.0000 0.0000 1
Gd1 Gd 0.5000 0.5000 0.5000 1
Cu1 Cu 0.2500 0.2500 0.2500 1
Cu2 Cu 0.7500 0.7500 0.7500 1
```

Final energy, eV for the cell shown: -24.8
Energy relative to the lowest polymorph listed for this composition, eV/atom: 0.0212
Formation energy from the elements, meV per atom: -127

[7]
VASP calculation (PBE) on a relaxed BaCu9Ge4 crystal.

Structure (CIF):
```
data_BaCu9Ge4
_symmetry_space_group_name_H-M 'P 1'
_symmetry_Int_Tables_number 1
_symmetry_space_group_name_Hall 'P 1'
_cell_length_a 8.4730
_cell_length_b 8.4730
_cell_length_c 8.4730
_cell_angle_alpha 120.65
_cell_angle_beta 120.65
_cell_angle_gamma 88.89
loop_
_atom_site_label
_atom_site_type_symbol
_atom_site_fract_x
_atom_site_fract_y
_atom_site_fract_z
_atom_site_occupancy
Ba1 Ba 0.2500 0.2500 0.0000 1
Ba2 Ba 0.7500 0.7500 0.0000 1
Cu1 Cu 0.0000 0.5000 0.5000 1
Cu2 Cu 0.0613 0.5613 0.2668 1
Cu3 Cu 0.0615 0.7956 0.8571 1
Cu4 Cu 0.2044 0.0615 0.2658 1
Cu5 Cu 0.2056 0.9387 0.5000 1
Cu6 Cu 0.2944 0.7944 0.7332 1
Cu7 Cu 0.2956 0.5615 0.8571 1
Cu8 Cu 0.4385 0.2956 0.7342 1
Cu9 Cu 0.4387 0.7056 0.5000 1
Cu10 Cu 0.5000 0.0000 0.5000 1
Cu11 Cu 0.5613 0.2944 0.5000 1
Cu12 Cu 0.5615 0.7044 0.2658 1
Cu13 Cu 0.7044 0.4385 0.1429 1
Cu14 Cu 0.7056 0.2056 0.2668 1
Cu15 Cu 0.7944 0.0613 0.5000 1
Cu16 Cu 0.7956 0.9385 0.7342 1
Cu17 Cu 0.9385 0.2044 0.1429 1
Cu18 Cu 0.9387 0.4387 0.7332 1
Ge1 Ge 0.0583 0.2012 0.5000 1
Ge2 Ge 0.2012 0.7012 0.1429 1
Ge3 Ge 0.2988 0.4417 0.5000 1
Ge4 Ge 0.4417 0.9417 0.1429 1
Ge5 Ge 0.5583 0.0583 0.8571 1
Ge6 Ge 0.7012 0.5583 0.5000 1
Ge7 Ge 0.7988 0.2988 0.8571 1
Ge8 Ge 0.9417 0.7988 0.5000 1
```

Final energy, eV for the cell shown: -118.8
Formation energy from the elements, meV per atom: -153

[8]
VASP calculation (PBE) on a relaxed HoThHg crystal.

Structure (CIF):
```
data_HoThHg
_symmetry_space_group_name_H-M 'P 1'
_symmetry_Int_Tables_number 1
_symmetry_space_group_name_Hall 'P 1'
_cell_length_a 7.0890
_cell_length_b 7.0890
_cell_length_c 7.0890
_cell_angle_alpha 150.47
_cell_angle_beta 150.47
_cell_angle_gamma 42.25
loop_
_atom_site_label
_atom_site_type_symbol
_atom_site_fract_x
_atom_site_fract_y
_atom_site_fract_z
_atom_site_occupancy
Ho1 Ho 0.0000 0.0000 0.0000 1
Th1 Th 0.6873 0.6873 0.0000 1
Hg1 Hg 0.3592 0.3592 0.0000 1
```

Final energy, eV for the cell shown: -13.0
Energy relative to the lowest polymorph listed for this composition, eV/atom: 0.0000
Formation energy from the elements, meV per atom: -223

The evaluated total magnetization for the records listed, in turn: 1.00; 0.00; 4.94; 0.00; 0.00; 7.23; 0.00; 0.00 Bohr magnetons per cell.